DFT (GGA-PBE) results for Tb3Ag2Rh after structural relaxation.

```
data_Tb3Ag2Rh
_symmetry_space_group_name_H-M 'P 1'
_symmetry_Int_Tables_number 1
_cell_length_a 5.043
_cell_length_b 5.043
_cell_length_c 6.234
_cell_angle_alpha 90.00
_cell_angle_beta 90.00
_cell_angle_gamma 120.00
loop_
_symmetry_equiv_pos_as_xyz
'x,y,z'
loop_
_atom_site_label
_atom_site_fract_x
_atom_site_fract_y
_atom_site_fract_z
Tb1 0.000 0.000 0.000
Tb2 0.333 0.667 0.648
Tb3 0.667 0.333 0.352
Ag1 0.333 0.667 0.151
Ag2 0.667 0.333 0.849
Rh1 0.000 0.000 0.500
```

Calculated values
As for the raw total energy: -29.85 eV per cell. The calculation puts the energy above the most stable polymorph in this dataset at 0.00 eV per formula unit. Its magnetic moment is 0.0 μB per formula unit. Its formation energy is -0.484 eV per atom.

***

DFT (GGA-PBE) results for Tb4AgRh3 after structural relaxation.

```
data_Tb4AgRh3
_symmetry_space_group_name_H-M 'P 1'
_symmetry_Int_Tables_number 1
_cell_length_a 3.532
_cell_length_b 4.942
_cell_length_c 9.743
_cell_angle_alpha 90.00
_cell_angle_beta 90.00
_cell_angle_gamma 90.00
loop_
_symmetry_equiv_pos_as_xyz
'x,y,z'
loop_
_atom_site_label
_atom_site_fract_x
_atom_site_fract_y
_atom_site_fract_z
Tb1 0.000 0.000 0.000
Tb2 0.000 0.000 0.500
Tb3 0.000 0.500 0.238
Tb4 0.000 0.500 0.762
Ag1 0.500 0.500 0.500
Rh1 0.500 0.000 0.249
Rh2 0.500 0.000 0.751
Rh3 0.500 0.500 0.000
```

Calculated values
As for the raw total energy: -49.06 eV per cell. Its magnetic moment is 0.0 μB per formula unit. Its formation energy is -0.704 eV per atom.

***

DFT (GGA-PBE) results for Tb7AgRh4 after structural relaxation.

```
data_Tb7AgRh4
_symmetry_space_group_name_H-M 'P 1'
_symmetry_Int_Tables_number 1
_cell_length_a 7.332
_cell_length_b 7.332
_cell_length_c 9.649
_cell_angle_alpha 122.36
_cell_angle_beta 122.36
_cell_angle_gamma 43.42
loop_
_symmetry_equiv_pos_as_xyz
'x,y,z'
loop_
_atom_site_label
_atom_site_fract_x
_atom_site_fract_y
_atom_site_fract_z
Tb1 0.000 0.000 0.000
Tb2 0.177 0.177 0.627
Tb3 0.290 0.290 0.121
Tb4 0.424 0.424 0.635
Tb5 0.576 0.576 0.365
Tb6 0.710 0.710 0.879
Tb7 0.823 0.823 0.373
Ag1 0.500 0.500 0.000
Rh1 0.067 0.067 0.779
Rh2 0.205 0.205 0.344
Rh3 0.795 0.795 0.656
Rh4 0.933 0.933 0.221
```

Calculated values
As for the raw total energy: -70.28 eV per cell. Its magnetic moment is 0.0 μB per formula unit. Its formation energy is -0.468 eV per atom.

***

DFT (GGA-PBE) results for Tb12AgRh6 after structural relaxation.

```
data_Tb12AgRh6
_symmetry_space_group_name_H-M 'P 1'
_symmetry_Int_Tables_number 1
_cell_length_a 8.283
_cell_length_b 8.283
_cell_length_c 8.283
_cell_angle_alpha 101.70
_cell_angle_beta 101.70
_cell_angle_gamma 101.70
loop_
_symmetry_equiv_pos_as_xyz
'x,y,z'
loop_
_atom_site_label
_atom_site_fract_x
_atom_site_fract_y
_atom_site_fract_z
Tb1 0.069 0.925 0.668
Tb2 0.075 0.332 0.931
Tb3 0.175 0.566 0.418
Tb4 0.332 0.931 0.075
Tb5 0.418 0.175 0.566
Tb6 0.434 0.582 0.825
Tb7 0.566 0.418 0.175
Tb8 0.582 0.825 0.434
Tb9 0.668 0.069 0.925
Tb10 0.825 0.434 0.582
Tb11 0.925 0.668 0.069
Tb12 0.931 0.075 0.332
Ag1 0.000 0.000 0.000
Rh1 0.139 0.308 0.615
Rh2 0.308 0.615 0.139
Rh3 0.385 0.861 0.692
Rh4 0.615 0.139 0.308
Rh5 0.692 0.385 0.861
Rh6 0.861 0.692 0.385
```

Calculated values
As for the raw total energy: -112.08 eV per cell. The calculation puts the energy above the most stable polymorph in this dataset at 0.96 eV per formula unit. Its magnetic moment is 0.0 μB per formula unit. Its formation energy is -0.503 eV per atom.

***

DFT (GGA-PBE) results for Tb6AgRh5 after structural relaxation.

```
data_Tb6AgRh5
_symmetry_space_group_name_H-M 'P 1'
_symmetry_Int_Tables_number 1
_cell_length_a 8.510
_cell_length_b 8.510
_cell_length_c 8.510
_cell_angle_alpha 146.48
_cell_angle_beta 131.80
_cell_angle_gamma 59.98
loop_
_symmetry_equiv_pos_as_xyz
'x,y,z'
loop_
_atom_site_label
_atom_site_fract_x
_atom_site_fract_y
_atom_site_fract_z
Tb1 0.075 0.330 0.746
Tb2 0.241 0.000 0.241
Tb3 0.416 0.670 0.746
Tb4 0.584 0.330 0.254
Tb5 0.759 0.000 0.759
Tb6 0.925 0.670 0.254
Ag1 0.500 0.500 0.000
Rh1 0.000 0.500 0.500
Rh2 0.166 0.166 0.000
Rh3 0.334 0.834 0.500
Rh4 0.666 0.166 0.500
Rh5 0.834 0.834 0.000
```

Calculated values
As for the raw total energy: -76.44 eV per cell. The calculation puts the energy above the most stable polymorph in this dataset at 0.00 eV per formula unit. Its magnetic moment is 0.0 μB per formula unit. Its formation energy is -0.754 eV per atom.

***

DFT (GGA-PBE) results for Tb4AgRh after structural relaxation.

```
data_Tb4AgRh
_symmetry_space_group_name_H-M 'P 1'
_symmetry_Int_Tables_number 1
_cell_length_a 9.562
_cell_length_b 9.562
_cell_length_c 9.562
_cell_angle_alpha 60.00
_cell_angle_beta 60.00
_cell_angle_gamma 60.00
loop_
_symmetry_equiv_pos_as_xyz
'x,y,z'
loop_
_atom_site_label
_atom_site_fract_x
_atom_site_fract_y
_atom_site_fract_z
Tb1 0.186 0.186 0.814
Tb2 0.186 0.814 0.186
Tb3 0.186 0.814 0.814
Tb4 0.397 0.397 0.397
Tb5 0.397 0.397 0.808
Tb6 0.397 0.808 0.397
Tb7 0.562 0.562 0.938
Tb8 0.562 0.938 0.562
Tb9 0.562 0.938 0.938
Tb10 0.808 0.397 0.397
Tb11 0.814 0.186 0.186
Tb12 0.814 0.186 0.814
Tb13 0.814 0.814 0.186
Tb14 0.938 0.562 0.562
Tb15 0.938 0.562 0.938
Tb16 0.938 0.938 0.562
Ag1 0.168 0.168 0.168
Ag2 0.168 0.168 0.496
Ag3 0.168 0.496 0.168
Ag4 0.496 0.168 0.168
Rh1 0.180 0.607 0.607
Rh2 0.607 0.180 0.607
Rh3 0.607 0.607 0.180
Rh4 0.607 0.607 0.607
```

Calculated values
As for the raw total energy: -125.97 eV per cell. The calculation puts the energy above the most stable polymorph in this dataset at 0.00 eV per formula unit. Its magnetic moment is 0.0 μB per formula unit. Its formation energy is -0.461 eV per atom.

***

DFT (GGA-PBE) results for Tb3AgRh after structural relaxation.

```
data_Tb3AgRh
_symmetry_space_group_name_H-M 'P 1'
_symmetry_Int_Tables_number 1
_cell_length_a 5.607
_cell_length_b 6.219
_cell_length_c 8.498
_cell_angle_alpha 102.70
_cell_angle_beta 100.02
_cell_angle_gamma 114.88
loop_
_symmetry_equiv_pos_as_xyz
'x,y,z'
loop_
_atom_site_label
_atom_site_fract_x
_atom_site_fract_y
_atom_site_fract_z
Tb1 0.058 0.200 0.285
Tb2 0.281 0.427 0.720
Tb3 0.308 0.808 0.117
Tb4 0.692 0.192 0.883
Tb5 0.719 0.573 0.280
Tb6 0.942 0.800 0.715
Ag1 0.342 0.762 0.496
Ag2 0.658 0.238 0.504
Rh1 0.246 0.247 0.997
Rh2 0.754 0.753 0.003
```

Calculated values
As for the raw total energy: -52.79 eV per cell. Its magnetic moment is 0.0 μB per formula unit. Its formation energy is -0.460 eV per atom.

***

DFT (GGA-PBE) results for Tb12Ag6Rh after structural relaxation.

```
data_Tb12Ag6Rh
_symmetry_space_group_name_H-M 'P 1'
_symmetry_Int_Tables_number 1
_cell_length_a 8.052
_cell_length_b 8.052
_cell_length_c 8.052
_cell_angle_alpha 92.17
_cell_angle_beta 92.17
_cell_angle_gamma 92.17
loop_
_symmetry_equiv_pos_as_xyz
'x,y,z'
loop_
_atom_site_label
_atom_site_fract_x
_atom_site_fract_y
_atom_site_fract_z
Tb1 0.046 0.945 0.698
Tb2 0.055 0.302 0.954
Tb3 0.175 0.388 0.522
Tb4 0.302 0.954 0.055
Tb5 0.388 0.522 0.175
Tb6 0.478 0.825 0.612
Tb7 0.522 0.175 0.388
Tb8 0.612 0.478 0.825
Tb9 0.698 0.046 0.945
Tb10 0.825 0.612 0.478
Tb11 0.945 0.698 0.046
Tb12 0.954 0.055 0.302
Ag1 0.178 0.764 0.374
Ag2 0.236 0.626 0.822
Ag3 0.374 0.178 0.764
Ag4 0.626 0.822 0.236
Ag5 0.764 0.374 0.178
Ag6 0.822 0.236 0.626
Rh1 0.500 0.500 0.500
```

Calculated values
As for the raw total energy: -82.90 eV per cell. Its magnetic moment is 0.0 μB per formula unit. Its formation energy is -0.151 eV per atom.

***

- Look up the raw total energy of the seventh one.
  -52.79 eV per cell